A geometry-optimized SrMnPO2 structure. Source: Alexandria via LeMat-Bulk, functional PBE with a Hubbard U.

The structure in POSCAR format:
```
SrMnPO2
1.0
4.4093 0.0000 0.0000
0.0000 4.4093 0.0000
0.0000 0.0000 6.1397
Sr Mn P O
1 1 1 2
Cartesian
0.0000 0.0000 0.0000 Sr
2.2046 2.2046 3.0699 Mn
0.0000 0.0000 3.0699 P
0.0000 2.2046 0.0000 O
2.2046 0.0000 0.0000 O
```

Values from the calculation:
Spin magnetization, μB per formula unit: 6.52
SG: P4/mmm
Excess energy over the best structure of this formula in the dataset, meV per atom: 1037
V, Å³/atom: 23.9